## CsHgSeN2 (GGA-PBE)

Data for a geometry-optimized CsHgSeN2 structure.

The space group is P4/mmm (No. 123) and the conventional cell measures 4.9760, 4.9760 and 5.4358 Å, with angles of 90.00, 90.00 and 90.00 degrees. The asymmetric unit holds Cs at (0.0000, 0.0000, 0.0000), Hg at (0.5000, 0.5000, 0.5000), Se at (0.5000, 0.5000, 0.0000) and N at (0.0000, 0.5000, 0.5000).

As for the magnetization: 4.7 μB/f.u. The offset from the most stable computed form comes out at 0 meV/atom. Its crystal system is tetragonal. For the density, the calculation gives 5.43 Mg/m³. The uncorrected formation energy is 1.39 eV per atom.

## CsHgSeN2 (GGA-PBE)

Data for a geometry-optimized CsHgSeN2 structure.

The space group is P4/mmm (No. 123) and the conventional cell measures 4.4325, 4.4325 and 7.4584 Å, with angles of 90.00, 90.00 and 90.00 degrees. The asymmetric unit holds Cs at (0.0000, 0.0000, 0.0000), Hg at (0.5000, 0.5000, 0.5000), Se at (0.0000, 0.0000, 0.5000) and N at (0.0000, 0.5000, 0.0000).

As for the magnetization: 2.3 μB/f.u. The offset from the most stable computed form comes out at 763 meV/atom. Its crystal system is tetragonal. For the density, the calculation gives 4.99 Mg/m³. The uncorrected formation energy is 2.15 eV per atom.

## CsTcHgN2 (GGA-PBE)

Data for a geometry-optimized CsTcHgN2 structure.

The space group is P4/mmm (No. 123) and the conventional cell measures 4.1446, 4.1446 and 6.2972 Å, with angles of 90.00, 90.00 and 90.00 degrees. The asymmetric unit holds Cs at (0.0000, 0.0000, 0.0000), Tc at (0.0000, 0.0000, 0.5000), Hg at (0.5000, 0.5000, 0.0000) and N at (0.0000, 0.5000, 0.5000).

As for the magnetization: 0.0 μB/f.u. The offset from the most stable computed form comes out at 0 meV/atom. Its crystal system is tetragonal. For the density, the calculation gives 7.05 Mg/m³. The uncorrected formation energy is 1.12 eV per atom.

## CsTcHgN2 (GGA-PBE)

Data for a geometry-optimized CsTcHgN2 structure.

The space group is P4/mmm (No. 123) and the conventional cell measures 4.6092, 4.6092 and 5.9308 Å, with angles of 90.00, 90.00 and 90.00 degrees. The asymmetric unit holds Cs at (0.0000, 0.0000, 0.0000), Tc at (0.0000, 0.0000, 0.5000), Hg at (0.5000, 0.5000, 0.5000) and N at (0.0000, 0.5000, 0.0000).

As for the magnetization: 6.2 μB/f.u. The offset from the most stable computed form comes out at 1793 meV/atom. Its crystal system is tetragonal. For the density, the calculation gives 6.06 Mg/m³. The uncorrected formation energy is 2.91 eV per atom.

## CsHgTeN2 (GGA-PBE)

Data for a geometry-optimized CsHgTeN2 structure.

The space group is P4/mmm (No. 123) and the conventional cell measures 4.4923, 4.4923 and 7.9652 Å, with angles of 90.00, 90.00 and 90.00 degrees. The asymmetric unit holds Cs at (0.0000, 0.0000, 0.0000), Hg at (0.5000, 0.5000, 0.5000), Te at (0.0000, 0.0000, 0.5000) and N at (0.0000, 0.5000, 0.0000).

As for the magnetization: 2.3 μB/f.u. The offset from the most stable computed form comes out at 613 meV/atom. Its crystal system is tetragonal. For the density, the calculation gives 5.05 Mg/m³. The uncorrected formation energy is 2.08 eV per atom.

## CsHgTeN2 (GGA-PBE)

Data for a geometry-optimized CsHgTeN2 structure.

The space group is P4/mmm (No. 123) and the conventional cell measures 5.1013, 5.1013 and 5.7787 Å, with angles of 90.00, 90.00 and 90.00 degrees. The asymmetric unit holds Cs at (0.0000, 0.0000, 0.0000), Hg at (0.5000, 0.5000, 0.5000), Te at (0.5000, 0.5000, 0.0000) and N at (0.0000, 0.5000, 0.5000).

As for the magnetization: 4.9 μB/f.u. The offset from the most stable computed form comes out at 0 meV/atom. Its crystal system is tetragonal. For the density, the calculation gives 5.40 Mg/m³. The uncorrected formation energy is 1.46 eV per atom.

## CsZrHgN2 (GGA-PBE)

Data for a geometry-optimized CsZrHgN2 structure.

The space group is P4/mmm (No. 123) and the conventional cell measures 4.4270, 4.4270 and 5.8995 Å, with angles of 90.00, 90.00 and 90.00 degrees. The asymmetric unit holds Cs at (0.0000, 0.0000, 0.0000), Zr at (0.0000, 0.0000, 0.5000), Hg at (0.5000, 0.5000, 0.5000) and N at (0.0000, 0.5000, 0.0000).

As for the magnetization: 0.0 μB/f.u. Its crystal system is tetragonal. For the density, the calculation gives 6.50 Mg/m³. The uncorrected formation energy is 2.50 eV per atom.

## Cs6Na15Hg8 (GGA-PBE)

Data for a geometry-optimized Cs6Na15Hg8 structure.

The space group is Fm-3m (No. 225) and the conventional cell measures 17.1396, 17.1396 and 17.1396 Å, with angles of 90.00, 90.00 and 90.00 degrees. The asymmetric unit holds Cs at (0.0000, 0.0000, 0.2474), Na at (0.0000, 0.0000, 0.5000), Na at (0.0000, 0.2500, 0.2500), Na at (0.1762, 0.1762, 0.1762) and Hg at (0.1390, 0.1390, 0.3610).

The formation energy from the elements comes out at -3.080 kcal/mol of atoms. As for the magnetization: 0.0 μB/f.u. Its crystal system is cubic. For the density, the calculation gives 3.62 Mg/m³.

## Cs2Na6Hg3 (GGA-PBE)

Data for a geometry-optimized Cs2Na6Hg3 structure.

The space group is P-62m (No. 189) and the conventional cell measures 9.8600, 9.8600 and 5.3676 Å, with angles of 90.00, 90.00 and 120.00 degrees. The asymmetric unit holds Cs at (0.3333, 0.6667, 0.0000), Na at (0.0000, 0.2828, 0.5000), Na at (0.0000, 0.7957, 0.0000) and Hg at (0.0000, 0.6202, 0.5000).

The formation energy from the elements comes out at -2.639 kcal/mol of atoms. As for the magnetization: 0.0 μB/f.u. Its crystal system is hexagonal. For the density, the calculation gives 3.69 Mg/m³.

## Cs2NaHg2 (GGA-PBE)

Data for a geometry-optimized Cs2NaHg2 structure.

The space group is C2/c (No. 15) and the conventional cell measures 12.9922, 7.5170 and 9.9318 Å, with angles of 90.00, 102.65 and 90.00 degrees. The asymmetric unit holds Cs at (0.1481, 0.1357, 0.1446), Na at (0.0000, 0.3951, 0.7500) and Hg at (0.1406, 0.3607, 0.5066).

The formation energy from the elements comes out at -4.695 kcal/mol of atoms. As for the magnetization: 0.0 μB/f.u. The offset from the most stable computed form comes out at 0 meV/atom. Its crystal system is monoclinic. For the density, the calculation gives 4.84 Mg/m³.

## Cs6NaHg6 (GGA-PBE)

Data for a geometry-optimized Cs6NaHg6 structure.

The space group is P6/mmm (No. 191) and the conventional cell measures 7.7356, 7.7356 and 13.0392 Å, with angles of 90.00, 90.00 and 120.00 degrees. The asymmetric unit holds Cs at (0.0000, 0.0000, 0.1990), Cs at (0.3333, 0.6667, 0.0000), Cs at (0.3333, 0.6667, 0.5000), Na at (0.0000, 0.0000, 0.5000) and Hg at (0.0000, 0.5000, 0.2503).

The formation energy from the elements comes out at -3.536 kcal/mol of atoms. As for the magnetization: 0.0 μB/f.u. Its crystal system is hexagonal. For the density, the calculation gives 4.98 Mg/m³.

## Cs4NaHg (GGA-PBE)

Data for a geometry-optimized Cs4NaHg structure.

The space group is C2/c (No. 15) and the conventional cell measures 12.4361, 18.6526 and 8.4239 Å, with angles of 90.00, 113.65 and 90.00 degrees. The asymmetric unit holds Cs at (0.1113, 0.1721, 0.0713), Cs at (0.2124, 0.4274, 0.3376), Na at (0.0000, 0.3713, 0.7500) and Hg at (0.0000, 0.0022, 0.7500).

The formation energy from the elements comes out at -1.648 kcal/mol of atoms. As for the magnetization: 0.0 μB/f.u. Its crystal system is monoclinic. For the density, the calculation gives 2.80 Mg/m³.

## Cs4NaHg2 (GGA-PBE)

Data for a geometry-optimized Cs4NaHg2 structure.

The space group is I4/mmm (No. 139) and the conventional cell measures 7.6397, 7.6397 and 19.1183 Å, with angles of 90.00, 90.00 and 90.00 degrees. The asymmetric unit holds Cs at (0.0000, 0.0000, 0.2212), Cs at (0.0000, 0.5000, 0.0000), Na at (0.0000, 0.0000, 0.0000) and Hg at (0.0000, 0.0000, 0.4198).

The formation energy from the elements comes out at -0.629 kcal/mol of atoms. As for the magnetization: 0.0 μB/f.u. The offset from the most stable computed form comes out at 45 meV/atom. Its crystal system is tetragonal. For the density, the calculation gives 2.84 Mg/m³.

## Cs3Na9Hg2 (GGA-PBE)

Data for a geometry-optimized Cs3Na9Hg2 structure.

The space group is Immm (No. 71) and the conventional cell measures 5.6432, 13.7187 and 16.6620 Å, with angles of 90.00, 90.00 and 90.00 degrees. The asymmetric unit holds Cs at (0.0000, 0.0000, 0.0000), Cs at (0.0000, 0.0000, 0.3160), Na at (0.0000, 0.2841, 0.1052), Na at (0.0000, 0.3298, 0.3268), Na at (0.0000, 0.5000, 0.0000) and Hg at (0.0000, 0.1904, 0.5000).

The formation energy from the elements comes out at -1.082 kcal/mol of atoms. As for the magnetization: 0.0 μB/f.u. Its crystal system is orthorhombic. For the density, the calculation gives 2.59 Mg/m³.

## Cs10NaHg3 (GGA-PBE)

Data for a geometry-optimized Cs10NaHg3 structure.

The space group is Fm-3m (No. 225) and the conventional cell measures 20.4962, 20.4962 and 20.4962 Å, with angles of 90.00, 90.00 and 90.00 degrees. The asymmetric unit holds Cs at (0.0000, 0.1667, 0.1667), Cs at (0.1172, 0.1172, 0.3828), Na at (0.2500, 0.2500, 0.2500) and Hg at (0.0000, 0.0000, 0.2724).

The formation energy from the elements comes out at -1.958 kcal/mol of atoms. As for the magnetization: 0.0 μB/f.u. Its crystal system is cubic. For the density, the calculation gives 3.01 Mg/m³.

## CsNa5Hg2 (GGA-PBE)

Data for a geometry-optimized CsNa5Hg2 structure.

The space group is Immm (No. 71) and the conventional cell measures 5.0719, 9.7160 and 12.3693 Å, with angles of 90.00, 90.00 and 90.00 degrees. The asymmetric unit holds Cs at (0.0000, 0.0000, 0.0000), Na at (0.0000, 0.1835, 0.3364), Na at (0.0000, 0.5000, 0.0000) and Hg at (0.0000, 0.5000, 0.2548).

The formation energy from the elements comes out at -3.217 kcal/mol of atoms. As for the magnetization: 0.0 μB/f.u. Its crystal system is orthorhombic. For the density, the calculation gives 3.54 Mg/m³.

## Cs2Na7Hg (GGA-PBE)

Data for a geometry-optimized Cs2Na7Hg structure.

The space group is P-4m2 (No. 115) and the conventional cell measures 5.9386, 5.9386 and 13.6393 Å, with angles of 90.00, 90.00 and 90.00 degrees. The asymmetric unit holds Cs at (0.0000, 0.5000, 0.2320), Na at (0.0000, 0.0000, 0.0000), Na at (0.0000, 0.0000, 0.5000), Na at (0.0000, 0.5000, 0.6383), Na at (0.0000, 0.5000, 0.8942), Na at (0.5000, 0.5000, 0.5000) and Hg at (0.5000, 0.5000, 0.0000).

The formation energy from the elements comes out at -0.041 kcal/mol of atoms. As for the magnetization: 0.0 μB/f.u. Its crystal system is tetragonal. For the density, the calculation gives 2.17 Mg/m³.

## CsNa4Hg6 (GGA-PBE)

Data for a geometry-optimized CsNa4Hg6 structure.

The space group is P-6 (No. 174) and the conventional cell measures 8.7373, 8.7373 and 5.1783 Å, with angles of 90.00, 90.00 and 120.00 degrees. The asymmetric unit holds Cs at (0.0000, 0.0000, 0.0000), Na at (0.1196, 0.7101, 0.5000), Na at (0.6667, 0.3333, 0.0000), Hg at (0.0962, 0.4806, 0.0000) and Hg at (0.4101, 0.1242, 0.5000).

The formation energy from the elements comes out at -5.103 kcal/mol of atoms. As for the magnetization: 0.0 μB/f.u. Its crystal system is hexagonal. For the density, the calculation gives 6.93 Mg/m³.

## Cs2Na2Hg (GGA-PBE)

Data for a geometry-optimized Cs2Na2Hg structure.

The space group is Immm (No. 71) and the conventional cell measures 6.1505, 6.7346 and 13.2928 Å, with angles of 90.00, 90.00 and 90.00 degrees. The asymmetric unit holds Cs at (0.0000, 0.0000, 0.1858), Na at (0.0000, 0.2381, 0.5000) and Hg at (0.0000, 0.5000, 0.0000).

The formation energy from the elements comes out at -1.537 kcal/mol of atoms. As for the magnetization: 0.0 μB/f.u. The offset from the most stable computed form comes out at 32 meV/atom. Its crystal system is orthorhombic. For the density, the calculation gives 3.09 Mg/m³.

## Cs2Na5Hg (GGA-PBE)

Data for a geometry-optimized Cs2Na5Hg structure.

The space group is Cm (No. 8) and the conventional cell measures 16.2002, 7.6961 and 7.6958 Å, with angles of 90.00, 118.20 and 90.00 degrees. The asymmetric unit holds Cs at (0.0000, 0.0000, 0.0000), Cs at (0.0002, 0.5000, 0.4975), Na at (0.1321, 0.0000, 0.6318), Na at (0.2653, 0.2654, 0.0299), Na at (0.2663, 0.2651, 0.5002) and Hg at (0.3616, 0.0000, 0.8612).

The formation energy from the elements comes out at -0.252 kcal/mol of atoms. As for the magnetization: 0.0 μB/f.u. The offset from the most stable computed form comes out at 0 meV/atom. Its crystal system is monoclinic. For the density, the calculation gives 2.28 Mg/m³.

## Cs2Na3Hg4 (GGA-PBE)

Data for a geometry-optimized Cs2Na3Hg4 structure.

The space group is P2_1/c (No. 14) and the conventional cell measures 9.1679, 8.9116 and 8.8312 Å, with angles of 90.00, 109.52 and 90.00 degrees. The asymmetric unit holds Cs at (0.1859, 0.1628, 0.0560), Na at (0.2661, 0.6730, 0.2549), Na at (0.5000, 0.0000, 0.5000), Hg at (0.0911, 0.5536, 0.8870) and Hg at (0.4966, 0.6264, 0.6270).

The formation energy from the elements comes out at -4.825 kcal/mol of atoms. As for the magnetization: 0.0 μB/f.u. Its crystal system is monoclinic. For the density, the calculation gives 5.55 Mg/m³.

## Cs4Na2Hg3 (GGA-PBE)

Data for a geometry-optimized Cs4Na2Hg3 structure.

The space group is C2/m (No. 12) and the conventional cell measures 21.8400, 4.8633 and 9.5169 Å, with angles of 90.00, 108.18 and 90.00 degrees. The asymmetric unit holds Cs at (0.0672, 0.0000, 0.3788), Cs at (0.2479, 0.5000, 0.2246), Na at (0.0904, 0.0000, 0.9600), Hg at (0.0000, 0.5000, 0.0000) and Hg at (0.0978, 0.5000, 0.7454).

The formation energy from the elements comes out at -3.097 kcal/mol of atoms. As for the magnetization: 0.0 μB/f.u. Its crystal system is monoclinic. For the density, the calculation gives 4.08 Mg/m³.